Record 1
Here is a geometry-optimized PmNdThMg structure from Alexandria via LeMat-Bulk. Energies are from PBE.

As for the crystal system: cubic. The energy above the most stable polymorph in this dataset is 18.5 kJ per mole of atoms. For the volume, the calculation gives 503 Å³ per cell. The calculated formation energy is 0.143 eV per atom.

Unit cell a=7.9542 b=7.9542 c=7.9542 alpha=90.00 beta=90.00 gamma=90.00
Closest atoms and distances in Å follow each position.
Space group F-43m (No. 216)
Asymmetric unit:
Pm1 0.0000 0.0000 0.0000 (multiplicity 4)  4 Th 3.44, 4 Mg 3.44
Nd1 0.0000 0.0000 0.5000 (multiplicity 4)  4 Th 3.44, 4 Mg 3.44
Th1 0.2500 0.2500 0.7500 (multiplicity 4)  4 Nd 3.44, 4 Pm 3.44
Mg1 0.2500 0.2500 0.2500 (multiplicity 4)  4 Nd 3.44, 4 Pm 3.44


Record 2
Here is a geometry-optimized PmNdThMg structure from Alexandria via LeMat-Bulk. Energies are from PBE.

As for the crystal system: tetragonal. The energy above the most stable polymorph in this dataset is 0.0 kJ per mole of atoms. For the volume, the calculation gives 125 Å³ per cell. The calculated formation energy is -0.049 eV per atom.

Unit cell a=3.6444 b=3.6444 c=9.4109 alpha=90.00 beta=90.00 gamma=90.00
Closest atoms and distances in Å follow each position.
Space group P4mm (No. 99)
Asymmetric unit:
Pm1 0.0000 0.0000 0.0000 (multiplicity 1)  4 Mg 3.43, 4 Th 3.54, 4 Pm 3.64
Nd1 0.0000 0.0000 0.5169 (multiplicity 1)  4 Mg 3.45, 4 Th 3.55, 4 Nd 3.64
Th1 0.5000 0.5000 0.2574 (multiplicity 1)  4 Pm 3.54, 4 Nd 3.55, 4 Th 3.64
Mg1 0.5000 0.5000 0.7602 (multiplicity 1)  4 Pm 3.43, 4 Nd 3.45, 4 Mg 3.64


Record 3
Here is a geometry-optimized Pm4Nd2ThMg structure from Alexandria via LeMat-Bulk. Energies are from PBE.

As for the crystal system: monoclinic. For the volume, the calculation gives 261 Å³ per cell. The calculated formation energy is 0.096 eV per atom.

Unit cell a=5.7489 b=5.7523 c=7.8827 alpha=90.00 beta=90.06 gamma=90.00
Closest atoms and distances in Å follow each position.
Space group P2/m (No. 10)
Asymmetric unit:
Pm1 0.0002 0.0000 0.2311 (multiplicity 2)  2 Mg 3.40, 4 Nd 3.40-3.57, 2 Th 3.57, 1 Pm 3.64
Pm2 0.5003 0.5000 0.2331 (multiplicity 2)  4 Nd 3.41-3.56, 2 Mg 3.41, 2 Th 3.56-3.57, 1 Pm 3.67
Nd1 0.0000 0.5000 0.0000 (multiplicity 1)  8 Pm 3.40-3.41
Nd2 0.5000 0.0000 0.5000 (multiplicity 1)  8 Pm 3.56-3.57, 2 Mg 3.94
Th1 0.0000 0.5000 0.5000 (multiplicity 1)  8 Pm 3.56-3.57, 2 Nd 3.94
Mg1 0.5000 0.0000 0.0000 (multiplicity 1)  8 Pm 3.40-3.41


Record 4
Here is a geometry-optimized Pm2NdMgTl4 structure from Alexandria via LeMat-Bulk. Energies are from PBE.

As for the crystal system: trigonal. For the volume, the calculation gives 680 Å³ per cell. The calculated formation energy is -0.324 eV per atom.

Unit cell a=5.3484 b=5.3484 c=27.4677 alpha=90.00 beta=90.00 gamma=120.00
Closest atoms and distances in Å follow each position.
Space group R-3m (No. 166, hexagonal axes)
Asymmetric unit:
Pm1 0.0000 0.0000 0.2417 (multiplicity 6)  7 Tl 3.21-3.37
Nd1 0.0000 0.0000 0.0000 (multiplicity 3)  8 Tl 3.30-3.40
Mg1 0.0000 0.0000 0.5000 (multiplicity 3)  8 Tl 3.31-3.41
Tl1 0.0000 0.0000 0.1238 (multiplicity 6)  4 Pm 3.21-3.24, 3 Mg 3.31, 1 Nd 3.40
Tl2 0.0000 0.0000 0.3758 (multiplicity 6)  3 Nd 3.30, 4 Pm 3.37-3.68, 1 Mg 3.41


Record 5
Here is a geometry-optimized Pm4NdTm2Mg structure from Alexandria via LeMat-Bulk. Energies are from PBE.

As for the crystal system: tetragonal. For the volume, the calculation gives 257 Å³ per cell. The calculated formation energy is 0.059 eV per atom.

Unit cell a=5.8196 b=5.8196 c=7.5919 alpha=90.00 beta=90.00 gamma=90.00
Closest atoms and distances in Å follow each position.
Space group P4/mmm (No. 123)
Asymmetric unit:
Pm1 0.0000 0.5000 0.2470 (multiplicity 4)  2 Mg 3.46, 2 Nd 3.46, 4 Tm 3.49, 2 Pm 3.75-3.84
Nd1 0.0000 0.0000 0.0000 (multiplicity 1)  8 Pm 3.46, 2 Tm 3.80
Tm1 0.0000 0.0000 0.5000 (multiplicity 1)  8 Pm 3.49, 2 Nd 3.80
Tm2 0.5000 0.5000 0.5000 (multiplicity 1)  8 Pm 3.49, 2 Mg 3.80
Mg1 0.5000 0.5000 0.0000 (multiplicity 1)  8 Pm 3.46, 2 Tm 3.80


Record 6
Here is a geometry-optimized Pm6Nd2Tm3Mg structure from Alexandria via LeMat-Bulk. Energies are from PBE.

As for the crystal system: monoclinic. For the volume, the calculation gives 778 Å³ per cell. The calculated formation energy is 0.013 eV per atom.

Unit cell a=6.2077 b=10.7619 c=11.8239 alpha=90.00 beta=100.13 gamma=90.00
Closest atoms and distances in Å follow each position.
Space group C2/m (No. 12)
Asymmetric unit:
Pm1 0.2473 0.0000 0.2456 (multiplicity 4)  3 Tm 3.52-3.53, 6 Pm 3.56-3.60, 1 Mg 3.61, 2 Nd 3.62
Pm2 0.2492 0.1654 0.7536 (multiplicity 8)  3 Tm 3.53-3.55, 6 Pm 3.56-3.60, 1 Mg 3.59, 2 Nd 3.61
Nd1 0.0000 0.3332 0.5000 (multiplicity 4)  3 Nd 3.58-3.59, 3 Mg 3.59, 6 Pm 3.61-3.62
Tm1 0.0000 0.1659 0.0000 (multiplicity 4)  6 Pm 3.52-3.55, 6 Tm 3.57-3.60
Tm2 0.0000 0.5000 0.0000 (multiplicity 2)  6 Pm 3.53, 6 Tm 3.58-3.60
Mg1 0.0000 0.0000 0.5000 (multiplicity 2)  6 Nd 3.59, 6 Pm 3.59-3.61


Record 7
Here is a geometry-optimized PmNd2TmMg structure from Alexandria via LeMat-Bulk. Energies are from PBE.

As for the crystal system: orthorhombic. For the volume, the calculation gives 327 Å³ per cell. The calculated formation energy is 0.157 eV per atom.

Unit cell a=5.9270 b=7.4497 c=7.3969 alpha=90.00 beta=90.00 gamma=90.00
Closest atoms and distances in Å follow each position.
Space group Pmma (No. 51)
Asymmetric unit:
Pm1 0.2500 0.0000 0.1558 (multiplicity 2)  6 Nd 3.57-3.82, 2 Pm 3.75
Nd1 0.2500 0.2185 0.6886 (multiplicity 4)  1 Tm 3.16, 1 Nd 3.26, 2 Mg 3.45
Tm1 0.2500 0.5000 0.3685 (multiplicity 2)  2 Mg 3.10, 2 Nd 3.16
Mg1 0.0000 0.5000 0.0000 (multiplicity 2)  2 Mg 2.96, 2 Tm 3.10


Record 8
Here is a geometry-optimized Pm2Nd4TmMg structure from Alexandria via LeMat-Bulk. Energies are from PBE.

As for the crystal system: monoclinic. For the volume, the calculation gives 262 Å³ per cell. The calculated formation energy is 0.007 eV per atom.

Unit cell a=5.0797 b=5.0832 c=10.1490 alpha=90.00 beta=90.04 gamma=90.00
Closest atoms and distances in Å follow each position.
Space group P2/m (No. 10)
Asymmetric unit:
Pm1 0.0000 0.0000 0.0000 (multiplicity 1)  8 Nd 3.58, 4 Mg 3.59
Pm2 0.5000 0.5000 0.5000 (multiplicity 1)  4 Tm 3.59, 8 Nd 3.60
Nd1 0.0002 0.5000 0.2485 (multiplicity 2)  2 Mg 3.58, 4 Pm 3.58-3.60, 4 Nd 3.59, 2 Tm 3.60
Nd2 0.5001 0.0000 0.2482 (multiplicity 2)  4 Pm 3.58-3.60, 2 Mg 3.58, 4 Nd 3.59, 2 Tm 3.60
Tm1 0.0000 0.0000 0.5000 (multiplicity 1)  4 Pm 3.59, 8 Nd 3.60
Mg1 0.5000 0.5000 0.0000 (multiplicity 1)  8 Nd 3.58, 4 Pm 3.59


Record 9
Here is a geometry-optimized Pm5Nd2TmMg structure from Alexandria via LeMat-Bulk. Energies are from PBE.

As for the crystal system: orthorhombic. For the volume, the calculation gives 1208 Å³ per cell. The calculated formation energy is 0.087 eV per atom.

Unit cell a=5.5461 b=20.2390 c=10.7606 alpha=90.00 beta=90.00 gamma=90.00
Closest atoms and distances in Å follow each position.
Space group Cmc2_1 (No. 36)
Asymmetric unit:
Pm1 0.0000 0.0000 0.0000 (multiplicity 4)  2 Mg 3.31-3.32, 2 Pm 3.64, 4 Nd 3.65
Pm2 0.0000 0.1213 0.2502 (multiplicity 4)  4 Nd 3.58, 1 Tm 3.59, 6 Pm 3.64-3.91
Pm3 0.0000 0.2119 0.5521 (multiplicity 4)  1 Mg 3.17, 2 Pm 3.37, 3 Nd 3.50-3.53, 2 Tm 3.50
Pm4 0.0000 0.2117 0.9484 (multiplicity 4)  1 Mg 3.18, 2 Pm 3.37, 3 Nd 3.50-3.53, 2 Tm 3.50
Pm5 0.0000 0.4851 0.2501 (multiplicity 4)  2 Mg 3.22, 2 Nd 3.48
Nd1 0.0000 0.3849 0.5394 (multiplicity 4)  9 Pm 3.48-3.71, 1 Tm 3.57
Nd2 0.0000 0.3847 0.9610 (multiplicity 4)  9 Pm 3.48-3.72, 1 Tm 3.57
Tm1 0.0000 0.2986 0.2503 (multiplicity 4)  2 Mg 3.50, 8 Pm 3.50-3.77, 2 Nd 3.57
Mg1 0.0000 0.0956 0.7497 (multiplicity 4)  6 Pm 3.17-3.32, 2 Tm 3.50


Record 10
Here is a geometry-optimized Pm2NdTmMg structure from Alexandria via LeMat-Bulk. Energies are from PBE.

As for the crystal system: monoclinic. For the volume, the calculation gives 318 Å³ per cell. The calculated formation energy is 0.010 eV per atom.

Unit cell a=6.6916 b=5.5905 c=8.7246 alpha=90.00 beta=103.14 gamma=90.00
Closest atoms and distances in Å follow each position.
Space group P2_1/m (No. 11)
Asymmetric unit:
Pm1 0.0428 0.2500 0.3556 (multiplicity 2)  3 Mg 3.37-3.44, 3 Tm 3.55-3.63, 1 Pm 3.64, 1 Nd 3.65
Pm2 0.1211 0.7500 0.0721 (multiplicity 2)  1 Mg 3.30, 1 Tm 3.31, 3 Pm 3.33-3.64, 2 Nd 3.56
Nd1 0.4584 0.2500 0.1475 (multiplicity 2)  3 Mg 3.39-3.47, 1 Tm 3.48, 4 Pm 3.56-3.75
Tm1 0.3768 0.7500 0.4438 (multiplicity 2)  1 Mg 3.23, 2 Tm 3.28, 3 Pm 3.31-3.55, 1 Nd 3.48
Mg1 0.2588 0.2500 0.7438 (multiplicity 2)  1 Tm 3.23, 4 Pm 3.30-3.44, 3 Nd 3.39-3.47


Record 11
Here is a geometry-optimized Pm3Nd2Y6Mg structure from Alexandria via LeMat-Bulk. Energies are from PBE.

As for the crystal system: monoclinic. For the volume, the calculation gives 781 Å³ per cell. The calculated formation energy is 0.019 eV per atom.

Unit cell a=6.2095 b=10.7591 c=11.8795 alpha=90.00 beta=100.06 gamma=90.00
Closest atoms and distances in Å follow each position.
Space group C2/m (No. 12)
Asymmetric unit:
Pm1 0.0000 0.0000 0.0000 (multiplicity 2)  6 Pm 3.58-3.60, 6 Y 3.60
Pm2 0.0000 0.3343 0.0000 (multiplicity 4)  6 Pm 3.57-3.60, 6 Y 3.58-3.61
Nd1 0.0000 0.1661 0.5000 (multiplicity 4)  6 Y 3.57-3.58, 3 Nd 3.58-3.59, 3 Mg 3.58-3.59
Y1 0.2480 0.3344 0.7483 (multiplicity 8)  1 Mg 3.56, 6 Y 3.56-3.60, 2 Nd 3.57, 3 Pm 3.59-3.61
Y2 0.2485 0.5000 0.2508 (multiplicity 4)  6 Y 3.56-3.60, 1 Mg 3.57, 2 Nd 3.58, 3 Pm 3.58-3.60
Mg1 0.0000 0.5000 0.5000 (multiplicity 2)  6 Y 3.56-3.57, 6 Nd 3.58-3.59


Record 12
Here is a geometry-optimized Pm4Nd2Y2Mg structure from Alexandria via LeMat-Bulk. Energies are from PBE.

As for the crystal system: triclinic. For the volume, the calculation gives 304 Å³ per cell. The calculated formation energy is 0.083 eV per atom.

Unit cell a=6.5427 b=6.5757 c=7.5995 alpha=74.97 beta=74.46 gamma=86.59
Closest atoms and distances in Å follow each position.
Space group P-1 (No. 2)
Asymmetric unit:
Pm1 0.1691 0.2037 0.3036 (multiplicity 2)  1 Mg 3.22, 2 Y 3.54-3.56, 2 Nd 3.55-3.60, 3 Pm 3.55-3.58
Pm2 0.3196 0.6667 0.4015 (multiplicity 2)  1 Mg 3.23, 4 Pm 3.49-3.58, 2 Nd 3.56-3.60
Nd1 0.1355 0.1805 0.7822 (multiplicity 2)  1 Mg 3.26, 4 Pm 3.55-3.60, 2 Y 3.55-3.59, 1 Nd 3.61
Y1 0.2911 0.6292 0.8944 (multiplicity 2)  1 Mg 3.23, 2 Pm 3.54-3.56, 2 Nd 3.55-3.59
Mg1 0.5000 0.0000 0.0000 (multiplicity 1)  4 Pm 3.22-3.23, 2 Y 3.23, 2 Nd 3.26


> The lowest calculated formation energy belongs to which entry?

Pm2NdMgTl4